# 1
First-principles (PBE) data for a geometry-optimized Zr2TiTc structure, as listed in Alexandria. Values from VASP.

The relative energy among the computed polymorphs is 3.7 kJ per mole of atoms. The formation enthalpy at 0 K is -117 meV/atom. Its electronic total energy is -35.83 eV for the cell shown.

Cell and atoms, written as Quantum ESPRESSO input:
```
&SYSTEM
  ibrav = 0, nat = 4, ntyp = 3
/
ATOMIC_SPECIES
Zr 91.22 Zr.upf
Ti 47.87 Ti.upf
Tc 98.00 Tc.upf
CELL_PARAMETERS angstrom
0.0000 3.3597 3.3597
3.3597 0.0000 3.3597
3.3597 3.3597 0.0000
ATOMIC_POSITIONS crystal
Zr 0.2500 0.2500 0.2500
Zr 0.7500 0.7500 0.7500
Ti 0.0000 0.0000 0.0000
Tc 0.5000 0.5000 0.5000
```

---

# 2
First-principles (PBE) data for a geometry-optimized Zr2TiTc structure, as listed in Alexandria. Values from VASP.

The relative energy among the computed polymorphs is 46.1 kJ per mole of atoms. The formation enthalpy at 0 K is 323 meV/atom. Its electronic total energy is -68.13 eV for the cell shown.

Cell and atoms, written as Quantum ESPRESSO input:
```
&SYSTEM
  ibrav = 0, nat = 8, ntyp = 3
/
ATOMIC_SPECIES
Zr 91.22 Zr.upf
Ti 47.87 Ti.upf
Tc 98.00 Tc.upf
CELL_PARAMETERS angstrom
-3.7083 3.7083 2.9109
3.7083 -3.7083 2.9109
3.7083 3.7083 -2.9109
ATOMIC_POSITIONS crystal
Zr 0.0994 0.1250 0.4744
Zr 0.3750 0.9006 0.0256
Zr 0.6506 0.6250 0.5256
Zr 0.8750 0.3494 0.9744
Ti 0.2500 0.7500 0.5000
Ti 0.5000 0.5000 0.0000
Tc 0.0000 0.0000 0.0000
Tc 0.7500 0.2500 0.5000
```

---

# 3
First-principles (PBE) data for a geometry-optimized ZrTiTc2 structure, as listed in Alexandria. Values from VASP.

The formation enthalpy at 0 K is 473 meV/atom. Its electronic total energy is -35.28 eV for the cell shown.

Cell and atoms, written as Quantum ESPRESSO input:
```
&SYSTEM
  ibrav = 0, nat = 4, ntyp = 3
/
ATOMIC_SPECIES
Zr 91.22 Zr.upf
Ti 47.87 Ti.upf
Tc 98.00 Tc.upf
CELL_PARAMETERS angstrom
-1.4069 2.4090 5.1471
1.4069 -2.4090 5.1471
1.4069 2.4090 -5.1471
ATOMIC_POSITIONS crystal
Zr 0.0000 0.0000 0.0000
Ti 0.5000 0.5000 0.0000
Tc 0.2676 0.2676 0.0000
Tc 0.7324 0.7324 0.0000
```

---

# 4
First-principles (PBE) data for a geometry-optimized ZrTi4Tc structure, as listed in Alexandria. Values from VASP.

The relative energy among the computed polymorphs is 0.0 kJ per mole of atoms. The formation enthalpy at 0 K is -176 meV/atom. Its electronic total energy is -51.55 eV for the cell shown.

Cell and atoms, written as Quantum ESPRESSO input:
```
&SYSTEM
  ibrav = 0, nat = 6, ntyp = 3
/
ATOMIC_SPECIES
Zr 91.22 Zr.upf
Ti 47.87 Ti.upf
Tc 98.00 Tc.upf
CELL_PARAMETERS angstrom
4.9228 -2.2689 0.0000
4.9228 2.2689 0.0000
-3.0990 0.0000 4.7082
ATOMIC_POSITIONS crystal
Zr 0.0000 0.0000 0.0000
Ti 0.2937 0.2937 0.6446
Ti 0.3504 0.3504 0.1974
Ti 0.6496 0.6496 0.8026
Ti 0.7063 0.7063 0.3554
Tc 0.0000 0.0000 0.5000
```

---

# 5
First-principles (PBE) data for a geometry-optimized Zr2Ti2Tc structure, as listed in Alexandria. Values from VASP.

The relative energy among the computed polymorphs is 3.4 kJ per mole of atoms. The formation enthalpy at 0 K is -26 meV/atom. Its electronic total energy is -86.76 eV for the cell shown.

Cell and atoms, written as Quantum ESPRESSO input:
```
&SYSTEM
  ibrav = 0, nat = 10, ntyp = 3
/
ATOMIC_SPECIES
Zr 91.22 Zr.upf
Ti 47.87 Ti.upf
Tc 98.00 Tc.upf
CELL_PARAMETERS angstrom
5.9102 -2.9228 0.0000
5.9102 2.9228 0.0000
-1.2115 0.0000 5.6571
ATOMIC_POSITIONS crystal
Zr 0.0088 0.7584 0.9210
Zr 0.2416 0.9912 0.5790
Zr 0.7584 0.0088 0.4210
Zr 0.9912 0.2416 0.0790
Ti 0.2167 0.4554 0.4456
Ti 0.4554 0.2167 0.9456
Ti 0.5446 0.7833 0.0544
Ti 0.7833 0.5446 0.5544
Tc 0.4267 0.5733 0.2500
Tc 0.5733 0.4267 0.7500
```

---

# 6
First-principles (PBE) data for a geometry-optimized ZrTi2Tc2 structure, as listed in Alexandria. Values from VASP.

The relative energy among the computed polymorphs is 15.2 kJ per mole of atoms. The formation enthalpy at 0 K is -50 meV/atom. Its electronic total energy is -90.64 eV for the cell shown.

Cell and atoms, written as Quantum ESPRESSO input:
```
&SYSTEM
  ibrav = 0, nat = 10, ntyp = 3
/
ATOMIC_SPECIES
Zr 91.22 Zr.upf
Ti 47.87 Ti.upf
Tc 98.00 Tc.upf
CELL_PARAMETERS angstrom
7.5919 0.0000 0.0000
0.0000 7.5919 0.0000
0.0000 0.0000 2.9423
ATOMIC_POSITIONS crystal
Zr 0.0000 0.0000 0.0000
Zr 0.5000 0.5000 0.0000
Ti 0.1359 0.3641 0.0000
Ti 0.3641 0.8641 0.0000
Ti 0.6359 0.1359 0.0000
Ti 0.8641 0.6359 0.0000
Tc 0.1621 0.6621 0.5000
Tc 0.3379 0.1621 0.5000
Tc 0.6621 0.8379 0.5000
Tc 0.8379 0.3379 0.5000
```

---

# 7
First-principles (PBE) data for a geometry-optimized ZrTi3Tc4 structure, as listed in Alexandria. Values from VASP.

The formation enthalpy at 0 K is -428 meV/atom. Its electronic total energy is -77.12 eV for the cell shown.

Cell and atoms, written as Quantum ESPRESSO input:
```
&SYSTEM
  ibrav = 0, nat = 8, ntyp = 3
/
ATOMIC_SPECIES
Zr 91.22 Zr.upf
Ti 47.87 Ti.upf
Tc 98.00 Tc.upf
CELL_PARAMETERS angstrom
4.4662 0.0000 0.0000
0.0000 4.4662 0.0000
0.0000 0.0000 6.2980
ATOMIC_POSITIONS crystal
Zr 0.0000 0.0000 0.0000
Ti 0.0000 0.0000 0.5000
Ti 0.5000 0.5000 0.0000
Ti 0.5000 0.5000 0.5000
Tc 0.0000 0.5000 0.2570
Tc 0.0000 0.5000 0.7430
Tc 0.5000 0.0000 0.2570
Tc 0.5000 0.0000 0.7430
```

---

# 8
First-principles (PBE) data for a geometry-optimized TlTc structure, as listed in Alexandria. Values from VASP.

The relative energy among the computed polymorphs is 4.7 kJ per mole of atoms. The formation enthalpy at 0 K is 357 meV/atom. Its electronic total energy is -24.04 eV for the cell shown.

Cell and atoms, written as Quantum ESPRESSO input:
```
&SYSTEM
  ibrav = 0, nat = 4, ntyp = 2
/
ATOMIC_SPECIES
Tl 204.38 Tl.upf
Tc 98.00 Tc.upf
CELL_PARAMETERS angstrom
3.0681 0.0000 0.0000
0.0000 3.0681 0.0000
0.0000 0.0000 8.7851
ATOMIC_POSITIONS crystal
Tl 0.2500 0.2500 0.1683
Tl 0.7500 0.7500 0.8317
Tc 0.2500 0.2500 0.5766
Tc 0.7500 0.7500 0.4234
```

---

# 9
First-principles (PBE) data for a geometry-optimized TlTc structure, as listed in Alexandria. Values from VASP.

The relative energy among the computed polymorphs is 90.6 kJ per mole of atoms. The formation enthalpy at 0 K is 1248 meV/atom. Its electronic total energy is -10.24 eV for the cell shown.

Cell and atoms, written as Quantum ESPRESSO input:
```
&SYSTEM
  ibrav = 0, nat = 2, ntyp = 2
/
ATOMIC_SPECIES
Tl 204.38 Tl.upf
Tc 98.00 Tc.upf
CELL_PARAMETERS angstrom
0.0000 2.7974 2.7974
2.7974 0.0000 2.7974
2.7974 2.7974 0.0000
ATOMIC_POSITIONS crystal
Tl 0.0000 0.0000 0.0000
Tc 0.5000 0.5000 0.5000
```

---

# 10
First-principles (PBE) data for a geometry-optimized Tl2Tc structure, as listed in Alexandria. Values from VASP.

The relative energy among the computed polymorphs is 22.2 kJ per mole of atoms. The formation enthalpy at 0 K is 673 meV/atom. Its electronic total energy is -26.16 eV for the cell shown.

Cell and atoms, written as Quantum ESPRESSO input:
```
&SYSTEM
  ibrav = 0, nat = 6, ntyp = 2
/
ATOMIC_SPECIES
Tl 204.38 Tl.upf
Tc 98.00 Tc.upf
CELL_PARAMETERS angstrom
1.6214 -8.3002 0.0000
1.6214 8.3002 0.0000
0.0000 0.0000 4.9805
ATOMIC_POSITIONS crystal
Tl 0.0628 0.9372 0.7500
Tl 0.3590 0.6410 0.7500
Tl 0.6410 0.3590 0.2500
Tl 0.9372 0.0628 0.2500
Tc 0.2807 0.7193 0.2500
Tc 0.7193 0.2807 0.7500
```

---

# 11
First-principles (PBE) data for a geometry-optimized Tl2Tc structure, as listed in Alexandria. Values from VASP.

The relative energy among the computed polymorphs is 29.1 kJ per mole of atoms. The formation enthalpy at 0 K is 744 meV/atom. Its electronic total energy is -12.87 eV for the cell shown.

Cell and atoms, written as Quantum ESPRESSO input:
```
&SYSTEM
  ibrav = 0, nat = 3, ntyp = 2
/
ATOMIC_SPECIES
Tl 204.38 Tl.upf
Tc 98.00 Tc.upf
CELL_PARAMETERS angstrom
3.2184 0.0000 0.0000
-1.6092 2.7873 0.0000
0.0000 0.0000 7.4380
ATOMIC_POSITIONS crystal
Tl 0.3333 0.6667 0.3050
Tl 0.6667 0.3333 0.6950
Tc 0.0000 0.0000 0.0000
```

---

# 12
First-principles (PBE) data for a geometry-optimized TlTc structure, as listed in Alexandria. Values from VASP.

The relative energy among the computed polymorphs is 20.6 kJ per mole of atoms. The formation enthalpy at 0 K is 522 meV/atom. Its electronic total energy is -23.38 eV for the cell shown.

Cell and atoms, written as Quantum ESPRESSO input:
```
&SYSTEM
  ibrav = 0, nat = 4, ntyp = 2
/
ATOMIC_SPECIES
Tl 204.38 Tl.upf
Tc 98.00 Tc.upf
CELL_PARAMETERS angstrom
1.5396 0.8889 9.6599
-1.5396 0.8889 9.6599
0.0000 -1.7778 9.6599
ATOMIC_POSITIONS crystal
Tl 0.1169 0.1169 0.1169
Tl 0.8831 0.8831 0.8831
Tc 0.3651 0.3651 0.3651
Tc 0.6349 0.6349 0.6349
```